# 1
Below is an optimized crystal structure of SrPrSi4Os2, with properties calculated at the PBE level.

Summary:
M_tot, μB per cell: 0.00
Energy, Ry/atom: -0.5085

Unit cell a=4.5629 b=4.1311 c=8.3486 alpha=90.00 beta=102.20 gamma=90.00
Last column: nearest neighbours and their distance in Å.
Element x y z (fractional)
Si  0.6696  0.0000  0.9949  4 Os 2.40-2.46, 2 Si 2.59
Si  0.0385  0.0000  0.5923  1 Os 2.43, 2 Si 2.56
Si  0.9599  0.5000  0.4060  1 Os 2.39, 2 Si 2.56
Si  0.3326  0.5000  0.0068  4 Os 2.40-2.47, 2 Si 2.59
Os  0.1229  0.0000  0.8894  5 Si 2.40-2.46
Os  0.8797  0.5000  0.1142  5 Si 2.39-2.47
Pr  0.4125  0.0000  0.2988  9 Si 3.01-3.35, 2 Os 3.31
Sr  0.5843  0.5000  0.6975  9 Si 3.04-3.33, 2 Os 3.35



# 2
Below is an optimized crystal structure of TbPrSi2Os, with properties calculated at the PBE level.

Summary:
M_tot, μB per cell: 0.27
Energy, Ry/atom: -0.5159

Unit cell a=5.8501 b=5.8501 c=10.2741 alpha=117.00 beta=117.00 gamma=42.81
Last column: nearest neighbours and their distance in Å.
Element x y z (fractional)
Pr  0.1911  0.1911  0.1089  6 Si 2.97-3.30
Pr  0.8089  0.8089  0.8911  6 Si 2.97-3.30
Si  0.6479  0.6479  0.5601  3 Os 2.43-2.44
Si  0.3521  0.3521  0.4399  3 Os 2.43-2.44
Si  0.5036  0.5036  0.1308  1 Os 2.53, 1 Si 2.65
Si  0.4964  0.4964  0.8692  1 Os 2.53, 1 Si 2.65
Os  0.2704  0.2704  0.6225  4 Si 2.43-2.53
Os  0.7296  0.7296  0.3775  4 Si 2.43-2.53
Tb  0.9955  0.9955  0.3248  6 Si 2.95-3.19, 4 Os 3.06-3.19
Tb  0.0045  0.0045  0.6752  6 Si 2.95-3.19, 4 Os 3.06-3.19